The following is a PBE calculation of crystalline SrMg12Ga6 at its relaxed geometry, from Alexandria.

Calculated values
Space group: R-3m (166)
Total DFT energy (no corrections) in eV per atom: -2.134
Energy of formation in eV/f.u.: -1.56

The structure in CIF format:
```
data_SrMg12Ga6
_chemical_formula_sum 'Sr1 Mg12 Ga6'
_cell_length_a 7.949
_cell_length_b 7.949
_cell_length_c 7.949
_cell_angle_alpha 104.50
_cell_angle_beta 104.50
_cell_angle_gamma 104.50
_symmetry_space_group_name_H-M 'P 1'
_symmetry_Int_Tables_number 1
loop_
_symmetry_equiv_pos_as_xyz
'x,y,z'
loop_
_atom_site_label
_atom_site_type_symbol
_atom_site_fract_x
_atom_site_fract_y
_atom_site_fract_z
Sr1 Sr 0.000 0.000 0.000
Mg1 Mg 0.121 0.500 0.879
Mg2 Mg 0.121 0.879 0.500
Mg3 Mg 0.172 0.438 0.438
Mg4 Mg 0.438 0.172 0.438
Mg5 Mg 0.438 0.438 0.172
Mg6 Mg 0.500 0.121 0.879
Mg7 Mg 0.500 0.879 0.121
Mg8 Mg 0.562 0.562 0.828
Mg9 Mg 0.562 0.828 0.562
Mg10 Mg 0.828 0.562 0.562
Mg11 Mg 0.879 0.121 0.500
Mg12 Mg 0.879 0.500 0.121
Ga1 Ga 0.246 0.246 0.706
Ga2 Ga 0.246 0.706 0.246
Ga3 Ga 0.294 0.754 0.754
Ga4 Ga 0.706 0.246 0.246
Ga5 Ga 0.754 0.294 0.754
Ga6 Ga 0.754 0.754 0.294
```

---

The following is a PBE calculation of crystalline Tm2Mg3Ag2 at its relaxed geometry, from Alexandria.

Calculated values
Space group: C2/m (12)
Total DFT energy (no corrections) in eV per atom: -2.990
Energy of formation in eV/f.u.: -1.50

The structure in CIF format:
```
data_Tm2Mg3Ag2
_chemical_formula_sum 'Tm4 Mg6 Ag4'
_cell_length_a 10.131
_cell_length_b 4.596
_cell_length_c 7.423
_cell_angle_alpha 90.00
_cell_angle_beta 111.82
_cell_angle_gamma 90.00
_symmetry_space_group_name_H-M 'P 1'
_symmetry_Int_Tables_number 1
loop_
_symmetry_equiv_pos_as_xyz
'x,y,z'
loop_
_atom_site_label
_atom_site_type_symbol
_atom_site_fract_x
_atom_site_fract_y
_atom_site_fract_z
Tm1 Tm 0.138 0.000 0.282
Tm2 Tm 0.362 0.500 0.718
Tm3 Tm 0.638 0.500 0.282
Tm4 Tm 0.862 0.000 0.718
Mg1 Mg 0.000 0.500 0.500
Mg2 Mg 0.127 0.500 0.938
Mg3 Mg 0.373 0.000 0.062
Mg4 Mg 0.500 0.000 0.500
Mg5 Mg 0.627 0.000 0.938
Mg6 Mg 0.873 0.500 0.062
Ag1 Ag 0.155 0.000 0.701
Ag2 Ag 0.345 0.500 0.299
Ag3 Ag 0.655 0.500 0.701
Ag4 Ag 0.845 0.000 0.299
```

---

The following is a PBE calculation of crystalline CrHgP2Cl at its relaxed geometry, from Alexandria.

Calculated values
Space group: P4/mmm (123)
Total DFT energy (no corrections) in eV per atom: -4.298
Energy relative to the elements, uncorrected in eV/atom: 0.220

The structure in CIF format:
```
data_CrHgP2Cl
_chemical_formula_sum 'Cr1 Hg1 P2 Cl1'
_cell_length_a 4.418
_cell_length_b 4.418
_cell_length_c 5.136
_cell_angle_alpha 90.00
_cell_angle_beta 90.00
_cell_angle_gamma 90.00
_symmetry_space_group_name_H-M 'P 1'
_symmetry_Int_Tables_number 1
loop_
_symmetry_equiv_pos_as_xyz
'x,y,z'
loop_
_atom_site_label
_atom_site_type_symbol
_atom_site_fract_x
_atom_site_fract_y
_atom_site_fract_z
Cr1 Cr 0.000 0.000 0.000
Hg1 Hg 0.500 0.500 0.500
P1 P 0.000 0.500 0.000
P2 P 0.500 0.000 0.000
Cl1 Cl 0.000 0.000 0.500
```

---

The following is a PBE calculation of crystalline La5Tb4Nd at its relaxed geometry, from Alexandria.

Calculated values
Space group: P4/mmm (123)
Total DFT energy (no corrections) in eV per atom: -4.771
Energy of formation in eV/f.u.: 0.21

The structure in CIF format:
```
data_La5Tb4Nd
_chemical_formula_sum 'La5 Tb4 Nd1'
_cell_length_a 3.708
_cell_length_b 3.708
_cell_length_c 25.379
_cell_angle_alpha 90.00
_cell_angle_beta 90.00
_cell_angle_gamma 90.00
_symmetry_space_group_name_H-M 'P 1'
_symmetry_Int_Tables_number 1
loop_
_symmetry_equiv_pos_as_xyz
'x,y,z'
loop_
_atom_site_label
_atom_site_type_symbol
_atom_site_fract_x
_atom_site_fract_y
_atom_site_fract_z
La1 La 0.000 0.000 0.000
La2 La 0.000 0.000 0.198
La3 La 0.000 0.000 0.397
La4 La 0.000 0.000 0.603
La5 La 0.000 0.000 0.802
Tb1 Tb 0.500 0.500 0.099
Tb2 Tb 0.500 0.500 0.297
Tb3 Tb 0.500 0.500 0.703
Tb4 Tb 0.500 0.500 0.901
Nd1 Nd 0.500 0.500 0.500
```

---

The following is a PBE calculation of crystalline NbSN at its relaxed geometry, from Alexandria.

Calculated values
Space group: I4mm (107)
Total DFT energy (no corrections) in eV per atom: -7.793
Energy relative to the elements, uncorrected in eV/atom: -0.285

The structure in CIF format:
```
data_NbSN
_chemical_formula_sum 'Nb2 S2 N2'
_cell_length_a 2.997
_cell_length_b 2.997
_cell_length_c 8.743
_cell_angle_alpha 90.00
_cell_angle_beta 90.00
_cell_angle_gamma 90.00
_symmetry_space_group_name_H-M 'P 1'
_symmetry_Int_Tables_number 1
loop_
_symmetry_equiv_pos_as_xyz
'x,y,z'
loop_
_atom_site_label
_atom_site_type_symbol
_atom_site_fract_x
_atom_site_fract_y
_atom_site_fract_z
Nb1 Nb 0.000 0.000 0.000
Nb2 Nb 0.500 0.500 0.500
S1 S 0.000 0.000 0.312
S2 S 0.500 0.500 0.812
N1 N 0.000 0.000 0.577
N2 N 0.500 0.500 0.077
```

---

The following is a PBE calculation of crystalline AcSmErTm at its relaxed geometry, from Alexandria.

Calculated values
Space group: F-43m (216)
Total DFT energy (no corrections) in eV per atom: -4.356
Energy of formation in eV/f.u.: 0.44

The structure in CIF format:
```
data_AcSmErTm
_chemical_formula_sum 'Ac4 Sm4 Er4 Tm4'
_cell_length_a 8.233
_cell_length_b 8.233
_cell_length_c 8.233
_cell_angle_alpha 90.00
_cell_angle_beta 90.00
_cell_angle_gamma 90.00
_symmetry_space_group_name_H-M 'P 1'
_symmetry_Int_Tables_number 1
loop_
_symmetry_equiv_pos_as_xyz
'x,y,z'
loop_
_atom_site_label
_atom_site_type_symbol
_atom_site_fract_x
_atom_site_fract_y
_atom_site_fract_z
Ac1 Ac 0.000 0.000 0.000
Ac2 Ac 0.000 0.500 0.500
Ac3 Ac 0.500 0.000 0.500
Ac4 Ac 0.500 0.500 0.000
Sm1 Sm 0.000 0.000 0.500
Sm2 Sm 0.000 0.500 0.000
Sm3 Sm 0.500 0.000 0.000
Sm4 Sm 0.500 0.500 0.500
Er1 Er 0.250 0.250 0.250
Er2 Er 0.250 0.750 0.750
Er3 Er 0.750 0.250 0.750
Er4 Er 0.750 0.750 0.250
Tm1 Tm 0.250 0.250 0.750
Tm2 Tm 0.250 0.750 0.250
Tm3 Tm 0.750 0.250 0.250
Tm4 Tm 0.750 0.750 0.750
```

---

The following is a PBE calculation of crystalline LaTe at its relaxed geometry, from Alexandria.

Calculated values
Space group: F-43m (216)
Total DFT energy (no corrections) in eV per atom: -5.074
Energy relative to the elements, uncorrected in eV/atom: -1.039

The structure in CIF format:
```
data_LaTe
_chemical_formula_sum 'La4 Te4'
_cell_length_a 7.224
_cell_length_b 7.224
_cell_length_c 7.224
_cell_angle_alpha 90.00
_cell_angle_beta 90.00
_cell_angle_gamma 90.00
_symmetry_space_group_name_H-M 'P 1'
_symmetry_Int_Tables_number 1
loop_
_symmetry_equiv_pos_as_xyz
'x,y,z'
loop_
_atom_site_label
_atom_site_type_symbol
_atom_site_fract_x
_atom_site_fract_y
_atom_site_fract_z
La1 La 0.000 0.000 0.000
La2 La 0.000 0.500 0.500
La3 La 0.500 0.000 0.500
La4 La 0.500 0.500 0.000
Te1 Te 0.250 0.250 0.250
Te2 Te 0.250 0.750 0.750
Te3 Te 0.750 0.250 0.750
Te4 Te 0.750 0.750 0.250
```

---

The following is a PBE calculation of crystalline CaTl3Te2O9 at its relaxed geometry, from Alexandria.

Calculated values
Space group: P-3m1 (164)
Total DFT energy (no corrections) in eV per atom: -5.075
Energy relative to the elements, uncorrected in eV/atom: -1.074

The structure in CIF format:
```
data_CaTl3Te2O9
_chemical_formula_sum 'Ca1 Tl3 Te2 O9'
_cell_length_a 5.860
_cell_length_b 5.860
_cell_length_c 7.435
_cell_angle_alpha 90.00
_cell_angle_beta 90.00
_cell_angle_gamma 120.00
_symmetry_space_group_name_H-M 'P 1'
_symmetry_Int_Tables_number 1
loop_
_symmetry_equiv_pos_as_xyz
'x,y,z'
loop_
_atom_site_label
_atom_site_type_symbol
_atom_site_fract_x
_atom_site_fract_y
_atom_site_fract_z
Ca1 Ca 0.000 0.000 0.000
Tl1 Tl 0.000 0.000 0.500
Tl2 Tl 0.333 0.667 0.157
Tl3 Tl 0.667 0.333 0.843
Te1 Te 0.333 0.667 0.662
Te2 Te 0.667 0.333 0.338
O1 O 0.000 0.500 0.500
O2 O 0.173 0.347 0.794
O3 O 0.173 0.827 0.794
O4 O 0.347 0.173 0.206
O5 O 0.500 0.000 0.500
O6 O 0.500 0.500 0.500
O7 O 0.653 0.827 0.794
O8 O 0.827 0.173 0.206
O9 O 0.827 0.653 0.206
```

---

The following is a PBE calculation of crystalline Sm2Zn3Ni at its relaxed geometry, from Alexandria.

Calculated values
Space group: Cm (8)
Total DFT energy (no corrections) in eV per atom: -3.535
Energy of formation in eV/f.u.: -2.17

The structure in CIF format:
```
data_Sm2Zn3Ni
_chemical_formula_sum 'Sm4 Zn6 Ni2'
_cell_length_a 10.055
_cell_length_b 4.418
_cell_length_c 7.076
_cell_angle_alpha 90.00
_cell_angle_beta 130.58
_cell_angle_gamma 90.00
_symmetry_space_group_name_H-M 'P 1'
_symmetry_Int_Tables_number 1
loop_
_symmetry_equiv_pos_as_xyz
'x,y,z'
loop_
_atom_site_label
_atom_site_type_symbol
_atom_site_fract_x
_atom_site_fract_y
_atom_site_fract_z
Sm1 Sm 0.000 0.000 0.000
Sm2 Sm 0.095 0.000 0.597
Sm3 Sm 0.500 0.500 0.000
Sm4 Sm 0.595 0.500 0.597
Zn1 Zn 0.216 0.500 0.393
Zn2 Zn 0.374 0.000 0.179
Zn3 Zn 0.390 0.000 0.590
Zn4 Zn 0.716 0.000 0.393
Zn5 Zn 0.874 0.500 0.179
Zn6 Zn 0.890 0.500 0.590
Ni1 Ni 0.206 0.500 0.992
Ni2 Ni 0.706 0.000 0.992
```

---

The following is a PBE calculation of crystalline Ba2CuAs at its relaxed geometry, from Alexandria.

Calculated values
Space group: Cm (8)
Total DFT energy (no corrections) in eV per atom: -3.722
Energy of formation in eV/f.u.: -2.30

The structure in CIF format:
```
data_Ba2CuAs
_chemical_formula_sum 'Ba4 Cu2 As2'
_cell_length_a 12.339
_cell_length_b 4.636
_cell_length_c 4.570
_cell_angle_alpha 90.00
_cell_angle_beta 90.03
_cell_angle_gamma 90.00
_symmetry_space_group_name_H-M 'P 1'
_symmetry_Int_Tables_number 1
loop_
_symmetry_equiv_pos_as_xyz
'x,y,z'
loop_
_atom_site_label
_atom_site_type_symbol
_atom_site_fract_x
_atom_site_fract_y
_atom_site_fract_z
Ba1 Ba 0.000 0.000 0.000
Ba2 Ba 0.227 0.500 0.502
Ba3 Ba 0.500 0.500 0.000
Ba4 Ba 0.727 0.000 0.502
Cu1 Cu 0.307 0.000 0.003
Cu2 Cu 0.807 0.500 0.003
As1 As 0.429 0.000 0.500
As2 As 0.929 0.500 0.500
```

---

The following is a PBE calculation of crystalline SiTe2Rh at its relaxed geometry, from Alexandria.

Calculated values
Space group: Imm2 (44)
Total DFT energy (no corrections) in eV per atom: -4.664
Energy relative to the elements, uncorrected in eV/atom: 0.100

The structure in CIF format:
```
data_SiTe2Rh
_chemical_formula_sum 'Si2 Te4 Rh2'
_cell_length_a 3.102
_cell_length_b 4.915
_cell_length_c 11.626
_cell_angle_alpha 90.00
_cell_angle_beta 90.00
_cell_angle_gamma 90.00
_symmetry_space_group_name_H-M 'P 1'
_symmetry_Int_Tables_number 1
loop_
_symmetry_equiv_pos_as_xyz
'x,y,z'
loop_
_atom_site_label
_atom_site_type_symbol
_atom_site_fract_x
_atom_site_fract_y
_atom_site_fract_z
Si1 Si 0.000 0.000 0.000
Si2 Si 0.500 0.500 0.500
Te1 Te 0.000 0.000 0.372
Te2 Te 0.000 0.500 0.172
Te3 Te 0.500 0.000 0.672
Te4 Te 0.500 0.500 0.872
Rh1 Rh 0.000 0.500 0.658
Rh2 Rh 0.500 0.000 0.158
```

---

The following is a PBE calculation of crystalline BaLa2Tl2Hg2 at its relaxed geometry, from Alexandria.

Calculated values
Space group: R-3m (166)
Total DFT energy (no corrections) in eV per atom: -2.807
Energy of formation in eV/f.u.: -2.54

The structure in CIF format:
```
data_BaLa2Tl2Hg2
_chemical_formula_sum 'Ba1 La2 Tl2 Hg2'
_cell_length_a 10.443
_cell_length_b 10.443
_cell_length_c 10.443
_cell_angle_alpha 28.55
_cell_angle_beta 28.55
_cell_angle_gamma 28.55
_symmetry_space_group_name_H-M 'P 1'
_symmetry_Int_Tables_number 1
loop_
_symmetry_equiv_pos_as_xyz
'x,y,z'
loop_
_atom_site_label
_atom_site_type_symbol
_atom_site_fract_x
_atom_site_fract_y
_atom_site_fract_z
Ba1 Ba 0.000 0.000 0.000
La1 La 0.140 0.140 0.140
La2 La 0.860 0.860 0.860
Tl1 Tl 0.261 0.261 0.261
Tl2 Tl 0.739 0.739 0.739
Hg1 Hg 0.440 0.440 0.440
Hg2 Hg 0.560 0.560 0.560
```